Entry 1:
## SrAc2PmSe4 (PBE-GGA)

Data for crystalline SrAc2PmSe4 at its relaxed geometry.

Computed properties:
**Total magnetization**: 0.00 μB/cell
**Symmetry**: No. 10
**Formation energy (no corrections)**: -1.879 eV per atom

a = 4.3641 Å, b = 7.6085 Å, c = 7.6085 Å
α = 70.86°, β = 90.00°, γ = 90.00°
Sites, in units of the cell vectors:
Se 0.5000 0.2646 0.7416
Sr 0.5000 0.5000 0.0000
Ac 0.5000 0.0000 0.5000
Se 0.0000 0.2607 0.2510
Pm 0.0000 0.5000 0.5000
Ac 0.0000 0.0000 0.0000
Se 0.5000 0.7354 0.2584
Se 0.0000 0.7393 0.7490

Entry 2:
## Ac2TbPmSe5 (PBE-GGA)

Data for crystalline Ac2TbPmSe5 at its relaxed geometry.

Computed properties:
**Total magnetization**: 0.00 μB/cell
**Symmetry**: No. 123
**Formation energy (no corrections)**: -1.474 eV per atom

a = 5.1750 Å, b = 5.1750 Å, c = 11.0501 Å
α = 90.00°, β = 90.00°, γ = 90.00°
Sites, in units of the cell vectors:
Ac 0.5000 0.5000 0.7102
Se 0.0000 0.0000 0.7526
Se 0.0000 0.0000 0.2474
Se 0.5000 0.5000 0.0000
Tb 0.0000 0.0000 0.5000
Pm 0.0000 0.0000 0.0000
Se 0.0000 0.5000 0.5000
Se 0.5000 0.0000 0.5000
Ac 0.5000 0.5000 0.2898

Entry 3:
## AcTb4PmSe8 (PBE-GGA)

Data for crystalline AcTb4PmSe8 at its relaxed geometry.

Computed properties:
**Total magnetization**: 0.00 μB/cell
**Symmetry**: No. 160
**Formation energy (no corrections)**: -1.730 eV per atom

a = 8.5795 Å, b = 8.5795 Å, c = 8.6237 Å
α = 60.17°, β = 60.17°, γ = 60.00°
Sites, in units of the cell vectors:
Pm 0.9972 0.9972 0.0083
Se 0.2339 0.7518 0.2626
Se 0.7570 0.7570 0.7289
Se 0.7518 0.2339 0.2626
Se 0.2349 0.2349 0.2953
Tb 0.5078 0.9976 0.4969
Tb 0.9976 0.5078 0.4969
Se 0.2390 0.7923 0.7297
Se 0.7518 0.7518 0.2626
Tb 0.9976 0.9976 0.4969
Tb 0.6259 0.6259 0.1223
Ac 0.3741 0.3741 0.8776
Se 0.2390 0.2390 0.7297
Se 0.7923 0.2390 0.7297